Record 1
Below is an optimized crystal structure of LiMo2Br, with properties calculated at the PBE level.

CIF file:
```
data_LiMo2Br
_symmetry_space_group_name_H-M 'C m m m'
_symmetry_Int_Tables_number 65
_symmetry_space_group_name_Hall '-C 2 2'
_cell_length_a 3.103
_cell_length_b 4.707
_cell_length_c 9.406
_cell_angle_alpha 90.00
_cell_angle_beta 90.00
_cell_angle_gamma 90.00
loop_
_atom_site_label
_atom_site_type_symbol
_atom_site_fract_x
_atom_site_fract_y
_atom_site_fract_z
Li1 Li 0.000 0.000 0.000
Mo1 Mo 0.000 0.500 0.255
Br1 Br 0.000 0.000 0.500
```

Calculated values
D(E_F)   3.9 states/eV/f.u.
Excess energy over the best structure of this formula in the dataset   852 meV per atom
Uncorrected formation energy   921 meV/atom
Total magnetization   0.00 μB/f.u.



Record 2
Below is an optimized crystal structure of SiHg2O4F6, with properties calculated at the PBE level.

CIF file:
```
data_SiHg2O4F6
_symmetry_space_group_name_H-M 'P -1'
_symmetry_Int_Tables_number 2
_symmetry_space_group_name_Hall '-P 1'
_cell_length_a 5.118
_cell_length_b 5.205
_cell_length_c 7.117
_cell_angle_alpha 105.00
_cell_angle_beta 100.84
_cell_angle_gamma 93.96
loop_
_atom_site_label
_atom_site_type_symbol
_atom_site_fract_x
_atom_site_fract_y
_atom_site_fract_z
Si1 Si 0.000 0.000 0.000
Hg1 Hg 0.000 0.000 0.500
Hg2 Hg 0.500 0.500 0.000
O1 O 0.305 0.375 0.652
O2 O 0.358 0.543 0.551
F1 F 0.137 0.324 0.122
F2 F 0.208 0.888 0.174
F3 F 0.237 0.970 0.857
```

Calculated values
D(E_F)   1.3 states/eV/f.u.
Excess energy over the best structure of this formula in the dataset   0 meV per atom
Uncorrected formation energy   -1474 meV/atom
Total magnetization   0.00 μB/f.u.



Record 3
Below is an optimized crystal structure of PmTmThIn, with properties calculated at the PBE level.

CIF file:
```
data_PmTmThIn
_symmetry_space_group_name_H-M 'F -4 3 m'
_symmetry_Int_Tables_number 216
_symmetry_space_group_name_Hall 'F -4 2 3'
_cell_length_a 7.753
_cell_length_b 7.753
_cell_length_c 7.753
_cell_angle_alpha 90.00
_cell_angle_beta 90.00
_cell_angle_gamma 90.00
loop_
_atom_site_label
_atom_site_type_symbol
_atom_site_fract_x
_atom_site_fract_y
_atom_site_fract_z
Pm1 Pm 0.000 0.000 0.000
Tm1 Tm 0.000 0.000 0.500
Th1 Th 0.250 0.250 0.250
In1 In 0.250 0.250 0.750
```

Calculated values
D(E_F)   6.9 states/eV/f.u.
Energy of formation   -0.10 eV per formula unit
Total magnetization   0.00 μB/f.u.



Record 4
Below is an optimized crystal structure of MoOsPt2Pb, with properties calculated at the PBE level.

CIF file:
```
data_MoOsPt2Pb
_symmetry_space_group_name_H-M 'P 4/m m m'
_symmetry_Int_Tables_number 123
_symmetry_space_group_name_Hall '-P 4 2'
_cell_length_a 4.910
_cell_length_b 4.910
_cell_length_c 4.992
_cell_angle_alpha 90.00
_cell_angle_beta 90.00
_cell_angle_gamma 90.00
loop_
_atom_site_label
_atom_site_type_symbol
_atom_site_fract_x
_atom_site_fract_y
_atom_site_fract_z
Mo1 Mo 0.000 0.000 0.000
Os1 Os 0.500 0.500 0.000
Pt1 Pt 0.000 0.500 0.500
Pb1 Pb 0.500 0.500 0.500
```

Calculated values
D(E_F)   6.3 states/eV/f.u.
Energy of formation   12.10 eV per formula unit
Total magnetization   1.65 μB/f.u.



Record 5
Below is an optimized crystal structure of Ta2AsBr, with properties calculated at the PBE level.

CIF file:
```
data_Ta2AsBr
_symmetry_space_group_name_H-M 'R 3 m'
_symmetry_Int_Tables_number 160
_symmetry_space_group_name_Hall 'R 3 -2"'
_cell_length_a 3.3571
_cell_length_b 3.3571
_cell_length_c 27.0010
_cell_angle_alpha 90.00
_cell_angle_beta 90.00
_cell_angle_gamma 120.00
loop_
_atom_site_label
_atom_site_type_symbol
_atom_site_fract_x
_atom_site_fract_y
_atom_site_fract_z
Ta1 Ta 0.0000 0.0000 0.0000
Ta2 Ta 0.0000 0.0000 0.2576
As1 As 0.0000 0.0000 0.5246
Br1 Br 0.0000 0.0000 0.7360
```

Calculated values
D(E_F)   2.6 states/eV/f.u.
Excess energy over the best structure of this formula in the dataset   0 meV per atom
Uncorrected formation energy   -143 meV/atom
Total magnetization   0.00 μB/f.u.



Record 6
Below is an optimized crystal structure of CaTlFe, with properties calculated at the PBE level.

CIF file:
```
data_CaTlFe
_symmetry_space_group_name_H-M 'I 4 m m'
_symmetry_Int_Tables_number 107
_symmetry_space_group_name_Hall 'I 4 -2'
_cell_length_a 3.556
_cell_length_b 3.556
_cell_length_c 10.875
_cell_angle_alpha 90.00
_cell_angle_beta 90.00
_cell_angle_gamma 90.00
loop_
_atom_site_label
_atom_site_type_symbol
_atom_site_fract_x
_atom_site_fract_y
_atom_site_fract_z
Ca1 Ca 0.000 0.000 0.000
Tl1 Tl 0.000 0.000 0.298
Fe1 Fe 0.000 0.000 0.677
```

Calculated values
D(E_F)   4.9 states/eV/f.u.
Energy of formation   0.85 eV per formula unit
Total magnetization   2.41 μB/f.u.



Record 7
Below is an optimized crystal structure of RbMnPd3, with properties calculated at the PBE level.

CIF file:
```
data_RbMnPd3
_symmetry_space_group_name_H-M 'P m -3 m'
_symmetry_Int_Tables_number 221
_symmetry_space_group_name_Hall '-P 4 2 3'
_cell_length_a 5.116
_cell_length_b 5.116
_cell_length_c 5.116
_cell_angle_alpha 90.00
_cell_angle_beta 90.00
_cell_angle_gamma 90.00
loop_
_atom_site_label
_atom_site_type_symbol
_atom_site_fract_x
_atom_site_fract_y
_atom_site_fract_z
Rb1 Rb 0.000 0.000 0.000
Mn1 Mn 0.500 0.500 0.500
Pd1 Pd 0.000 0.000 0.500
```

Calculated values
D(E_F)   4.8 states/eV/f.u.
Energy of formation   8.08 eV per formula unit
Excess energy over the best structure of this formula in the dataset   921 meV per atom
Total magnetization   4.97 μB/f.u.



Record 8
Below is an optimized crystal structure of Sm4Pt, with properties calculated at the PBE level.

CIF file:
```
data_Sm4Pt
_symmetry_space_group_name_H-M 'P m -3 m'
_symmetry_Int_Tables_number 221
_symmetry_space_group_name_Hall '-P 4 2 3'
_cell_length_a 5.602
_cell_length_b 5.602
_cell_length_c 5.602
_cell_angle_alpha 90.00
_cell_angle_beta 90.00
_cell_angle_gamma 90.00
loop_
_atom_site_label
_atom_site_type_symbol
_atom_site_fract_x
_atom_site_fract_y
_atom_site_fract_z
Sm1 Sm 0.000 0.000 0.000
Sm2 Sm 0.000 0.500 0.500
Pt1 Pt 0.500 0.500 0.500
```

Calculated values
D(E_F)   10.7 states/eV/f.u.
Energy of formation   -1.37 eV per formula unit
Excess energy over the best structure of this formula in the dataset   155 meV per atom
Total magnetization   0.18 μB/f.u.



Record 9
Below is an optimized crystal structure of TlPIr3, with properties calculated at the PBE level.

CIF file:
```
data_TlPIr3
_symmetry_space_group_name_H-M 'P m -3 m'
_symmetry_Int_Tables_number 221
_symmetry_space_group_name_Hall '-P 4 2 3'
_cell_length_a 4.957
_cell_length_b 4.957
_cell_length_c 4.957
_cell_angle_alpha 90.00
_cell_angle_beta 90.00
_cell_angle_gamma 90.00
loop_
_atom_site_label
_atom_site_type_symbol
_atom_site_fract_x
_atom_site_fract_y
_atom_site_fract_z
Tl1 Tl 0.000 0.000 0.000
P1 P 0.500 0.500 0.500
Ir1 Ir 0.000 0.000 0.500
```

Calculated values
D(E_F)   7.0 states/eV/f.u.
Energy of formation   13.38 eV per formula unit
Excess energy over the best structure of this formula in the dataset   2118 meV per atom
Total magnetization   2.12 μB/f.u.



Record 10
Below is an optimized crystal structure of Ga2CuNi, with properties calculated at the PBE level.

CIF file:
```
data_Ga2CuNi
_symmetry_space_group_name_H-M 'F m -3 m'
_symmetry_Int_Tables_number 225
_symmetry_space_group_name_Hall '-F 4 2 3'
_cell_length_a 5.938
_cell_length_b 5.938
_cell_length_c 5.938
_cell_angle_alpha 90.00
_cell_angle_beta 90.00
_cell_angle_gamma 90.00
loop_
_atom_site_label
_atom_site_type_symbol
_atom_site_fract_x
_atom_site_fract_y
_atom_site_fract_z
Ga1 Ga 0.250 0.250 0.250
Cu1 Cu 0.000 0.000 0.000
Ni1 Ni 0.000 0.000 0.500
```

Calculated values
D(E_F)   1.0 states/eV/f.u.
Energy of formation   -0.73 eV per formula unit
Total magnetization   0.00 μB/f.u.



Record 11
Below is an optimized crystal structure of Zr4FeN, with properties calculated at the PBE level.

CIF file:
```
data_Zr4FeN
_symmetry_space_group_name_H-M 'C m m m'
_symmetry_Int_Tables_number 65
_symmetry_space_group_name_Hall '-C 2 2'
_cell_length_a 8.095
_cell_length_b 8.127
_cell_length_c 3.437
_cell_angle_alpha 90.00
_cell_angle_beta 90.00
_cell_angle_gamma 90.00
loop_
_atom_site_label
_atom_site_type_symbol
_atom_site_fract_x
_atom_site_fract_y
_atom_site_fract_z
Zr1 Zr 0.000 0.215 0.000
Zr2 Zr 0.186 0.500 0.500
Fe1 Fe 0.000 0.000 0.500
N1 N 0.000 0.500 0.000
```

Calculated values
D(E_F)   5.9 states/eV/f.u.
Uncorrected formation energy   -469 meV/atom
Total magnetization   0.00 μB/f.u.



Record 12
Below is an optimized crystal structure of Zr2Al2ZnRh5, with properties calculated at the PBE level.

CIF file:
```
data_Zr2Al2ZnRh5
_symmetry_space_group_name_H-M 'P 4/m b m'
_symmetry_Int_Tables_number 127
_symmetry_space_group_name_Hall '-P 4 2ab'
_cell_length_a 9.623
_cell_length_b 9.623
_cell_length_c 3.418
_cell_angle_alpha 90.00
_cell_angle_beta 90.00
_cell_angle_gamma 90.00
loop_
_atom_site_label
_atom_site_type_symbol
_atom_site_fract_x
_atom_site_fract_y
_atom_site_fract_z
Zr1 Zr 0.174 0.326 0.000
Al1 Al 0.126 0.626 0.000
Zn1 Zn 0.000 0.000 0.000
Rh1 Rh 0.000 0.500 0.500
Rh2 Rh 0.068 0.797 0.500
```

Calculated values
D(E_F)   3.6 states/eV/f.u.
Energy of formation   -7.22 eV per formula unit
Total magnetization   0.00 μB/f.u.